{"formula": "Ti2NiAu", "functional": "PBE", "state": "optimized geometry", "space_group": "P4/mmm", "formation_enthalpy_0k_ev_per_atom": -0.32, "density_g_cm3": 9.6, "lattice": [[3.999, 0.000, 0.000], [0.000, 3.895, 0.000], [0.000, 0.000, 3.895]], "species": ["Ti", "Ti", "Au", "Ni"], "frac_coords": [[0.000, 0.500, 0.000], [0.000, 0.000, 0.500], [0.500, 0.500, 0.500], [0.500, 0.000, 0.000]]}

***

{"formula": "Sr3Si2Ge3", "functional": "PBE", "state": "optimized geometry", "space_group": "C2/c", "density_g_cm3": 4.1, "e_form_raw_ev_per_atom": -0.395, "lattice": [[4.623, 0.000, 0.000], [-2.311, 5.768, 0.000], [0.015, 0.000, 16.138]], "species": ["Ge", "Ge", "Ge", "Ge", "Ge", "Ge", "Si", "Si", "Si", "Si", "Sr", "Sr", "Sr", "Sr", "Sr", "Sr"], "frac_coords": [[0.348, 0.697, 0.750], [0.072, 0.144, 0.567], [0.928, 0.856, 0.433], [0.928, 0.856, 0.067], [0.072, 0.144, 0.933], [0.652, 0.303, 0.250], [0.071, 0.142, 0.178], [0.929, 0.858, 0.678], [0.071, 0.142, 0.322], [0.929, 0.858, 0.822], [0.635, 0.270, 0.750], [0.644, 0.287, 0.059], [0.643, 0.287, 0.441], [0.357, 0.713, 0.559], [0.356, 0.713, 0.941], [0.365, 0.730, 0.250]]}

***

{"formula": "KRbAgHg", "functional": "PBE", "state": "optimized geometry", "space_group": "F-43m", "formation_enthalpy_0k_ev_per_atom": -0.06, "density_g_cm3": 4.6, "lattice": [[6.050, 0.000, 0.000], [3.025, 5.240, 0.000], [3.025, 1.747, 4.940]], "species": ["Hg", "Ag", "Rb", "K"], "frac_coords": [[0.000, 0.000, 0.000], [0.500, 0.500, 0.500], [0.250, 0.250, 0.250], [0.750, 0.750, 0.750]]}

***

{"formula": "Th4ReSb", "functional": "PBE", "state": "optimized geometry", "space_group": "P4/mcc", "density_g_cm3": 11.8, "e_form_raw_ev_per_atom": -0.320, "lattice": [[-4.949, 3.581, 1.284], [-3.443, -5.856, 3.062], [2.961, 1.719, 6.618]], "species": ["Re", "Re", "Th", "Th", "Th", "Th", "Th", "Th", "Th", "Th", "Sb", "Sb"], "frac_coords": [[0.250, 0.500, 0.500], [0.750, 0.500, 0.500], [0.500, 0.182, 0.358], [0.000, 0.358, 0.182], [0.500, 0.642, 0.182], [0.000, 0.182, 0.642], [0.000, 0.818, 0.358], [0.500, 0.818, 0.642], [0.000, 0.642, 0.818], [0.500, 0.358, 0.818], [0.750, 0.000, 0.000], [0.250, 0.000, 0.000]]}

***

{"formula": "LaHoGe2", "functional": "PBE", "state": "optimized geometry", "space_group": "P4/mmm", "formation_enthalpy_0k_ev_per_atom": -0.66, "density_g_cm3": 7.8, "lattice": [[3.424, 0.000, 0.000], [0.000, 3.424, 0.000], [0.000, 0.000, 8.199]], "species": ["Ge", "Ge", "La", "Ho"], "frac_coords": [[0.000, 0.000, 0.737], [0.000, 0.000, 0.263], [0.500, 0.500, 0.000], [0.500, 0.500, 0.500]]}

***

{"formula": "Ni5P2Pd", "functional": "PBE", "state": "optimized geometry", "space_group": "Immm", "formation_enthalpy_0k_ev_per_atom": -0.39, "density_g_cm3": 8.0, "lattice": [[3.319, 0.000, 0.797], [1.380, 5.256, 1.562], [0.402, 0.195, 5.636]], "species": ["P", "P", "Ni", "Ni", "Ni", "Ni", "Ni", "Pd"], "frac_coords": [[0.258, 0.242, 0.242], [0.742, 0.758, 0.758], [0.649, 0.156, 0.545], [0.649, 0.545, 0.156], [0.351, 0.455, 0.844], [0.351, 0.844, 0.455], [0.000, 0.500, 0.500], [0.000, 0.000, 0.000]]}

***

{"formula": "NaPmHg2", "functional": "PBE", "state": "optimized geometry", "space_group": "P4/mmm", "formation_enthalpy_0k_ev_per_atom": -0.36, "density_g_cm3": 8.9, "lattice": [[-2.304, 1.004, 2.617], [-0.977, -5.204, 1.136], [4.068, 0.017, 3.575]], "species": ["Hg", "Hg", "Na", "Pm"], "frac_coords": [[0.000, 0.500, 0.000], [0.000, 0.000, 0.500], [0.500, 0.000, 0.000], [0.500, 0.500, 0.500]]}

***

{"formula": "CrSeBr2", "functional": "PBE", "state": "optimized geometry", "space_group": "I-42d", "density_g_cm3": 4.4, "e_form_raw_ev_per_atom": -0.191, "lattice": [[9.599, 0.000, 0.000], [0.000, 9.599, 0.000], [4.799, 4.799, 2.391]], "species": ["Cr", "Cr", "Se", "Se", "Br", "Br", "Br", "Br"], "frac_coords": [[0.500, 0.500, 0.000], [0.250, 0.750, 0.500], [0.750, 0.250, 0.500], [0.000, 0.000, 0.000], [0.281, 0.625, 0.250], [0.469, 0.125, 0.250], [0.875, 0.719, 0.750], [0.375, 0.531, 0.750]]}